Entry 1:
A plane-wave DFT calculation with PBE was carried out for CsInF3 after structural relaxation.

```
10
Lattice="5.510 -0.317 0.158 -1.339 5.291 -0.457 -1.644 -2.022 8.044" Properties=species:S:1:pos:R:3 pbc="T T T"
In -0.882 3.990 3.235
In 1.200 2.393 4.179
F -0.454 0.602 3.773
F 3.074 3.247 5.073
F 0.819 2.071 6.269
F 2.753 2.819 2.500
F -0.501 4.311 1.146
F 2.110 0.489 4.098
Cs -1.901 0.988 6.490
Cs 3.558 0.103 1.381
```

Properties
The total energy is -43.33 eV/cell. The calculation puts the raw formation energy at -57.47 kcal/mol of atoms.

=====

Entry 2:
A plane-wave DFT calculation with PBE was carried out for Cs2InF4 after structural relaxation.

```
14
Lattice="-5.973 -2.454 -4.754 0.003 -5.266 2.714 -0.900 4.346 8.434" Properties=species:S:1:pos:R:3 pbc="T T T"
F -1.776 -0.640 8.458
F -2.604 -2.787 1.165
F -1.275 -3.004 3.871
F -2.602 -5.335 2.478
F -5.595 -0.369 2.523
F -4.267 -0.586 5.229
F -4.268 1.962 3.916
F -5.094 -2.733 -2.064
Cs -2.174 -0.201 2.846
Cs -2.585 1.749 6.629
Cs -4.696 -3.173 3.548
Cs -4.285 -5.122 -0.235
In -5.803 0.622 4.446
In -1.067 -3.995 1.948
```

Properties
The total energy is -58.29 eV/cell. The calculation puts the raw formation energy at -56.71 kcal/mol of atoms. The energy above the lowest structure with this stoichiometry comes out at 21 meV/atom.

=====

Entry 3:
A plane-wave DFT calculation with PBE was carried out for Cs2InF6 after structural relaxation.

```
9
Lattice="3.987 0.000 0.479 0.000 7.100 0.000 -0.764 -3.550 6.138" Properties=species:S:1:pos:R:3 pbc="T T T"
F -0.444 2.199 4.516
F 3.667 5.749 2.101
F 1.994 5.849 0.239
F 3.667 1.351 2.101
F 1.994 1.252 0.239
F -0.444 -2.199 4.516
Cs 1.603 3.550 2.444
Cs 1.620 0.000 4.173
In 0.000 0.000 0.000
```

Properties
The total energy is -36.49 eV/cell. The calculation puts the raw formation energy at -53.33 kcal/mol of atoms.

=====

Entry 4:
A plane-wave DFT calculation with PBE was carried out for Cs3In2F7 after structural relaxation.

```
12
Lattice="4.603 0.000 0.000 0.000 4.688 0.000 0.000 -2.344 12.625" Properties=species:S:1:pos:R:3 pbc="T T T"
F 0.000 2.344 7.981
F 2.301 2.344 10.186
F 0.000 2.344 2.427
F 0.000 0.000 4.644
F 2.301 0.000 2.439
F 0.000 0.000 0.000
F 0.000 0.000 10.198
In 0.000 2.344 10.236
In 0.000 0.000 2.389
Cs 2.301 0.000 8.035
Cs 2.301 2.344 0.000
Cs 2.301 2.344 4.589
```

Properties
The total energy is -50.28 eV/cell. The calculation puts the raw formation energy at -56.01 kcal/mol of atoms.

=====

Entry 5:
A plane-wave DFT calculation with PBE was carried out for CsKInF3 after structural relaxation.

```
12
Lattice="4.607 0.000 0.000 -2.303 8.488 0.626 0.000 -1.837 7.430" Properties=species:S:1:pos:R:3 pbc="T T T"
In 2.303 7.680 2.689
In 0.000 -1.029 5.367
F 0.000 2.462 2.825
F 2.303 -0.677 5.705
F 0.000 7.328 2.351
F 2.303 5.530 1.918
F 2.303 4.189 5.231
F 0.000 1.121 6.137
K 2.303 1.777 4.461
K 0.000 4.874 3.595
Cs 0.000 4.118 7.139
Cs 2.303 2.532 0.917
```

Properties
The total energy is -48.09 eV/cell. The calculation puts the raw formation energy at -52.81 kcal/mol of atoms.

=====

Entry 6:
A plane-wave DFT calculation with PBE was carried out for Cs2KIn2F6 after structural relaxation.

```
11
Lattice="-4.233 -1.406 -5.381 4.927 -4.018 1.713 -6.381 -0.293 5.097" Properties=species:S:1:pos:R:3 pbc="T T T"
In -4.781 -4.959 0.518
In -0.907 -0.759 0.912
F 2.223 -3.983 1.726
F -4.000 -3.296 -0.531
F -1.688 -2.421 1.961
F -7.910 -1.735 -0.296
F -5.640 -0.981 2.589
F -0.047 -4.737 -1.159
Cs -3.795 -3.016 3.774
Cs -1.893 -2.702 -2.344
K -5.307 -0.849 -0.142
```

Properties
The total energy is -45.35 eV/cell. The calculation puts the raw formation energy at -54.17 kcal/mol of atoms.

=====

Entry 7:
A plane-wave DFT calculation with PBE was carried out for Cs2KIn3F12 after structural relaxation.

```
18
Lattice="7.913 -0.109 -0.077 3.813 6.935 -0.077 3.813 2.220 6.571" Properties=species:S:1:pos:R:3 pbc="T T T"
F 6.771 3.941 5.866
F 8.770 5.105 0.550
F 11.927 6.943 2.602
F 11.927 4.751 5.692
F 6.250 6.536 4.636
F 3.613 2.103 3.814
F 8.770 2.207 4.636
F 5.519 1.021 0.724
F 3.613 4.295 0.724
F 9.290 2.510 1.780
F 6.771 6.839 1.780
F 10.021 8.025 5.692
Cs 9.654 5.620 3.986
Cs 5.886 3.426 2.430
In 1.907 1.110 3.285
In 1.907 3.467 -0.039
In 3.957 -0.054 -0.039
K 0.000 0.000 0.000
```

Properties
The total energy is -81.64 eV/cell. The calculation puts the raw formation energy at -61.71 kcal/mol of atoms.

=====

Entry 8:
A plane-wave DFT calculation with PBE was carried out for Cs2Mg2InF7 after structural relaxation.

```
12
Lattice="-2.845 3.073 0.279 -1.851 -1.395 -3.499 -9.204 -6.090 4.780" Properties=species:S:1:pos:R:3 pbc="T T T"
Cs -6.674 -3.533 2.421
Cs -7.226 -0.880 -0.861
Mg -10.358 -4.042 2.055
Mg -3.542 -0.370 -0.495
F -4.480 -1.078 -2.235
F -4.730 -1.568 0.610
F -9.420 -3.334 3.795
F -8.923 -5.568 1.906
F -2.348 0.839 -1.610
F -4.977 1.156 -0.346
F -9.170 -2.844 0.950
In 0.000 0.000 0.000
```

Properties
The total energy is -55.99 eV/cell. The calculation puts the raw formation energy at -67.76 kcal/mol of atoms.